A | Density functional theory data (GGA-PBE) for a geometry-optimized Na3Ag2Sn3 structure. Values from VASP.

Computed properties:
size of the total moment: 0.000 μB/f.u.
DOS(E_F): 5.35 states/eV per cell

```
&SYSTEM
  ibrav = 0, nat = 16, ntyp = 3
/
ATOMIC_SPECIES
Na 22.99 Na.upf
Ag 107.87 Ag.upf
Sn 118.71 Sn.upf
ATOMIC_POSITIONS angstrom
Na 2.429 4.684 9.459
Na 2.429 4.684 13.743
Na 2.429 1.814 11.601
Na 2.429 -1.814 3.867
Na 2.429 -4.684 1.725
Na 2.429 -4.684 6.009
Ag 2.429 3.085 1.617
Ag 2.429 3.085 6.116
Ag 2.429 -3.085 9.351
Ag 2.429 -3.085 13.850
Sn 2.429 1.383 3.867
Sn 2.429 1.303 8.439
Sn 2.429 1.303 14.763
Sn 2.429 -1.303 0.705
Sn 2.429 -1.303 7.029
Sn 2.429 -1.383 11.601
CELL_PARAMETERS angstrom
2.429 -5.507 0.000
2.429 5.507 0.000
0.000 0.000 15.468
```



B | Density functional theory data (GGA-PBE) for a geometry-optimized Na3Ag2Sn3 structure. Values from VASP.

Computed properties:
size of the total moment: 0.000 μB/f.u.
DOS(E_F): 5.90 states/eV per cell

```
&SYSTEM
  ibrav = 0, nat = 16, ntyp = 3
/
ATOMIC_SPECIES
Na 22.99 Na.upf
Ag 107.87 Ag.upf
Sn 118.71 Sn.upf
ATOMIC_POSITIONS angstrom
Na 2.434 5.217 11.808
Na 2.434 3.618 8.425
Na 2.434 3.618 15.191
Na 2.434 -3.618 0.553
Na 2.434 -3.618 7.319
Na 2.434 -5.217 3.936
Ag 2.434 2.307 2.490
Ag 2.434 2.307 5.382
Ag 2.434 -2.307 10.362
Ag 2.434 -2.307 13.254
Sn 2.434 2.142 11.808
Sn 2.434 0.382 9.371
Sn 2.434 0.382 14.245
Sn 2.434 -0.382 1.499
Sn 2.434 -0.382 6.373
Sn 2.434 -2.142 3.936
CELL_PARAMETERS angstrom
2.434 -5.243 0.000
2.434 5.243 0.000
0.000 0.000 15.744
```



In order of decreasing stability: A, B.